1.
## Mg2Be2ZnAu5 (PBE)

Data for an optimized crystal structure of Mg2Be2ZnAu5.

Unit cell a=3.2747 b=9.9143 c=9.9143 alpha=90.00 beta=90.00 gamma=90.00
Last column: nearest neighbours and their distance in Å.
Atoms (fractional coordinates):
Mg1 0.0000 0.6728 0.1728  3 Be 2.81-3.00, 6 Au 2.92-2.99
Mg2 0.0000 0.3272 0.8272  3 Be 2.81-3.00, 6 Au 2.92-2.99
Mg3 0.0000 0.1728 0.3272  3 Be 2.81-3.00, 6 Au 2.92-2.99
Mg4 0.0000 0.8272 0.6728  3 Be 2.81-3.00, 6 Au 2.92-2.99
Be1 0.0000 0.1264 0.6264  6 Au 2.40-2.41
Be2 0.0000 0.8736 0.3736  6 Au 2.40-2.41
Be3 0.0000 0.6264 0.8736  6 Au 2.40-2.41
Be4 0.0000 0.3736 0.1264  6 Au 2.40-2.41
Zn1 0.0000 0.0000 0.0000  8 Au 2.71
Zn2 0.0000 0.5000 0.5000  8 Au 2.71
Au1 0.5000 0.2038 0.0762  2 Be 2.40
Au2 0.5000 0.7962 0.9238  2 Be 2.40
Au3 0.5000 0.0762 0.7962  2 Be 2.40
Au4 0.5000 0.7038 0.4238  2 Be 2.40
Au5 0.5000 0.9238 0.2038  2 Be 2.40
Au6 0.5000 0.2962 0.5762  2 Be 2.40
Au7 0.5000 0.5762 0.7038  2 Be 2.40
Au8 0.5000 0.4238 0.2962  2 Be 2.40
Au9 0.5000 0.5000 0.0000  4 Be 2.41
Au10 0.5000 0.0000 0.5000  4 Be 2.41

Properties
The total DFT energy (no corrections) comes out at -0.2318 Ry/atom. The formation energy comes out at -312 kJ/mol of formula units. As for the space group: P4/mbm. The calculation puts the spin magnetization at 0.0 μB/f.u.

---

2.
## EuScGaPd (PBE)

Data for an optimized crystal structure of EuScGaPd.

Unit cell a=4.9700 b=4.9700 c=4.9700 alpha=60.00 beta=60.00 gamma=60.00
Last column: nearest neighbours and their distance in Å.
Atoms (fractional coordinates):
Eu1 0.5000 0.5000 0.5000  4 Pd 3.04, 4 Ga 3.04
Sc1 0.0000 0.0000 0.0000  4 Pd 3.04, 4 Ga 3.04
Ga1 0.2500 0.2500 0.2500  4 Sc 3.04, 4 Eu 3.04
Pd1 0.7500 0.7500 0.7500  4 Eu 3.04, 4 Sc 3.04

Properties
The total DFT energy (no corrections) comes out at -0.4948 Ry/atom. The formation energy comes out at -203 kJ/mol of formula units. As for the space group: F-43m. The calculation puts the spin magnetization at 6.8 μB/f.u.

---

3.
## BeNiRh2 (PBE)

Data for an optimized crystal structure of BeNiRh2.

Unit cell a=4.5463 b=4.5463 c=4.5463 alpha=133.61 beta=133.61 gamma=67.70
Last column: nearest neighbours and their distance in Å.
Atoms (fractional coordinates):
Ni1 0.7500 0.2500 0.5000  8 Rh 2.53-2.60, 4 Be 2.60
Rh1 0.0000 0.0000 0.0000  4 Be 2.53, 4 Ni 2.60, 4 Rh 2.60
Rh2 0.2500 0.7500 0.5000  4 Ni 2.53, 4 Rh 2.60, 4 Be 2.60
Be1 0.5000 0.5000 0.0000  8 Rh 2.53-2.60, 4 Ni 2.60

Properties
The total DFT energy (no corrections) comes out at -0.4567 Ry/atom. The formation energy comes out at -62 kJ/mol of formula units. As for the space group: I-4m2. The calculation puts the spin magnetization at 0.0 μB/f.u.

---

4.
## YMo5 (PBE)

Data for an optimized crystal structure of YMo5.

Unit cell a=5.3545 b=5.3545 c=5.3545 alpha=60.00 beta=60.00 gamma=60.00
Last column: nearest neighbours and their distance in Å.
Atoms (fractional coordinates):
Y1 0.0000 0.0000 0.0000  16 Mo 3.14-3.28
Mo1 0.3755 0.3755 0.3755  6 Mo 2.67-2.69
Mo2 0.7500 0.7500 0.7500  12 Mo 3.14, 4 Y 3.28
Mo3 0.3755 0.8734 0.3755  6 Mo 2.67-2.69
Mo4 0.3755 0.3755 0.8734  6 Mo 2.67-2.69
Mo5 0.8734 0.3755 0.3755  6 Mo 2.67-2.69

Properties
The total DFT energy (no corrections) comes out at -0.7270 Ry/atom. The formation energy comes out at 123 kJ/mol of formula units. As for the space group: F-43m. The calculation puts the spin magnetization at 0.0 μB/f.u. The energy above the lowest structure with this stoichiometry comes out at 0.010 eV/atom.

---

5.
## HfThTl2 (PBE)

Data for an optimized crystal structure of HfThTl2.

Unit cell a=3.4101 b=3.4101 c=8.8164 alpha=90.00 beta=90.00 gamma=90.00
Last column: nearest neighbours and their distance in Å.
Atoms (fractional coordinates):
Tl1 0.0000 0.0000 0.7713  4 Hf 3.14, 4 Th 3.40, 4 Tl 3.41
Tl2 0.0000 0.0000 0.2287  4 Hf 3.14, 4 Th 3.40, 4 Tl 3.41
Hf1 0.5000 0.5000 0.0000  8 Tl 3.14, 4 Hf 3.41
Th1 0.5000 0.5000 0.5000  8 Tl 3.40, 4 Th 3.41

Properties
The total DFT energy (no corrections) comes out at -0.4038 Ry/atom. The formation energy comes out at 12 kJ/mol of formula units. As for the space group: P4/mmm. The calculation puts the spin magnetization at 0.0 μB/f.u. The energy above the lowest structure with this stoichiometry comes out at 0.000 eV/atom.

---

6.
## KRePdF2 (PBE)

Data for an optimized crystal structure of KRePdF2.

Unit cell a=4.3626 b=6.5011 c=4.3626 alpha=90.00 beta=90.00 gamma=90.00
Last column: nearest neighbours and their distance in Å.
Atoms (fractional coordinates):
Re1 0.0000 0.5000 0.0000  4 Pd 3.08, 2 K 3.25
K1 0.0000 0.0000 0.0000  4 F 2.18
Pd1 0.5000 0.5000 0.5000  4 Re 3.08
F1 0.0000 0.0000 0.5000  2 K 2.18
F2 0.5000 0.0000 0.0000  2 K 2.18

Properties
The total DFT energy (no corrections) comes out at -0.2871 Ry/atom. The calculation puts the formation energy (no corrections) at 2.95 eV/f.u. As for the space group: P4/mmm. The calculation puts the spin magnetization at 4.8 μB/f.u.

---

7.
## ZnTcSn2P (PBE)

Data for an optimized crystal structure of ZnTcSn2P.

Unit cell a=5.1485 b=4.8891 c=5.1485 alpha=90.00 beta=90.00 gamma=90.00
Last column: nearest neighbours and their distance in Å.
Atoms (fractional coordinates):
P1 0.5000 0.5000 0.5000  8 Sn 3.55, 4 Zn 3.64
Zn1 0.0000 0.5000 0.0000  2 Tc 2.44
Sn1 0.0000 0.0000 0.5000  2 Tc 2.57
Sn2 0.5000 0.0000 0.0000  2 Tc 2.57
Tc1 0.0000 0.0000 0.0000  2 Zn 2.44, 4 Sn 2.57

Properties
The total DFT energy (no corrections) comes out at -0.3152 Ry/atom. The formation energy comes out at 349 kJ/mol of formula units. As for the space group: P4/mmm. The calculation puts the spin magnetization at 2.5 μB/f.u.

---

8.
## InBiN2 (PBE)

Data for an optimized crystal structure of InBiN2.

Unit cell a=4.3766 b=4.3766 c=4.3766 alpha=60.00 beta=60.00 gamma=60.00
Last column: nearest neighbours and their distance in Å.
Atoms (fractional coordinates):
N1 0.2500 0.2500 0.2500  4 Bi 2.68, 4 In 2.68
N2 0.7500 0.7500 0.7500  4 Bi 2.68, 4 In 2.68
Bi1 0.5000 0.5000 0.5000  8 N 2.68
In1 0.0000 0.0000 0.0000  8 N 2.68

Properties
The total DFT energy (no corrections) comes out at -0.3368 Ry/atom. The calculation puts the formation energy (no corrections) at 4.94 eV/f.u. As for the space group: Fm-3m. The calculation puts the spin magnetization at 0.0 μB/f.u. The energy above the lowest structure with this stoichiometry comes out at 0.707 eV/atom.

---

9.
## MgTl2Tc (PBE)

Data for an optimized crystal structure of MgTl2Tc.

Unit cell a=5.0997 b=5.0997 c=5.4526 alpha=78.25 beta=78.25 gamma=37.43
Last column: nearest neighbours and their distance in Å.
Atoms (fractional coordinates):
Mg1 0.7500 0.7500 0.7500  6 Tl 3.00-3.07, 4 Tc 3.18, 2 Mg 3.27
Tc1 0.2500 0.2500 0.2500  6 Tl 2.91-3.04, 4 Mg 3.18
Tl1 0.9920 0.9920 0.0156  3 Tc 2.91-3.04, 3 Mg 3.00-3.07, 2 Tl 3.07
Tl2 0.5080 0.5080 0.4844  3 Tc 2.91-3.04, 3 Mg 3.00-3.07, 2 Tl 3.07

Properties
The total DFT energy (no corrections) comes out at -0.2711 Ry/atom. The formation energy comes out at 187 kJ/mol of formula units. As for the space group: C2/m. The calculation puts the spin magnetization at 1.1 μB/f.u. The energy above the lowest structure with this stoichiometry comes out at 0.090 eV/atom.

---

10.
## Ga2SbPbO6 (PBE)

Data for an optimized crystal structure of Ga2SbPbO6.

Unit cell a=5.6457 b=7.1923 c=7.1923 alpha=92.62 beta=84.44 gamma=84.44
Last column: nearest neighbours and their distance in Å.
Atoms (fractional coordinates):
Ga1 0.2147 0.7933 0.6047  4 O 1.85-1.91
Ga2 0.2853 0.3953 0.2067  4 O 1.85-1.91
Ga3 0.7853 0.2067 0.3953  4 O 1.85-1.91
Ga4 0.7147 0.6047 0.7933  4 O 1.85-1.91
Sb1 0.2500 0.2989 0.7011  4 O 2.06-2.09
Sb2 0.7500 0.7011 0.2989  4 O 2.06-2.09
Pb1 0.2500 0.8949 0.1051  4 O 2.32-2.46
Pb2 0.7500 0.1051 0.8949  4 O 2.32-2.46
O1 0.1506 0.0320 0.7252  1 Ga 1.87, 1 Sb 2.06
O2 0.3494 0.2748 0.9680  1 Ga 1.87, 1 Sb 2.06
O3 0.8494 0.9680 0.2748  1 Ga 1.87, 1 Sb 2.06
O4 0.6506 0.7252 0.0320  1 Ga 1.87, 1 Sb 2.06
O5 0.4026 0.8221 0.3840  1 Ga 1.85
O6 0.0974 0.6160 0.1779  1 Ga 1.85
O7 0.5974 0.1779 0.6160  1 Ga 1.85
O8 0.9026 0.3840 0.8221  1 Ga 1.85
O9 0.8978 0.7214 0.6029  2 Ga 1.91
O10 0.6022 0.3971 0.2786  2 Ga 1.91
O11 0.1022 0.2786 0.3971  2 Ga 1.91
O12 0.3978 0.6029 0.7214  2 Ga 1.91

Properties
The total DFT energy (no corrections) comes out at -0.4270 Ry/atom. The calculation puts the formation energy (no corrections) at -14.46 eV/f.u. As for the space group: C2/c. The calculation puts the spin magnetization at 0.0 μB/f.u.

---

11.
## RbVCSe2 (PBE)

Data for an optimized crystal structure of RbVCSe2.

Unit cell a=6.0128 b=5.4341 c=6.0128 alpha=90.00 beta=90.00 gamma=90.00
Last column: nearest neighbours and their distance in Å.
Atoms (fractional coordinates):
C1 0.5000 0.5000 0.5000  8 Se 4.05, 4 V 4.25
Se1 0.0000 0.0000 0.5000  2 Rb 3.01
Se2 0.5000 0.0000 0.0000  2 Rb 3.01
Rb1 0.0000 0.0000 0.0000  2 V 2.72, 4 Se 3.01
V1 0.0000 0.5000 0.0000  2 Rb 2.72

Properties
The total DFT energy (no corrections) comes out at -0.1621 Ry/atom. The calculation puts the formation energy (no corrections) at 15.25 eV/f.u. As for the space group: P4/mmm. The calculation puts the spin magnetization at 0.3 μB/f.u.

---

Q: Among the records above, which one has the highest total DFT energy (no corrections)?
A: RbVCSe2